No. 1
Computed, not measured: crystalline AlNiAg2F7 at its relaxed geometry at the GGA-PBEsol level of DFT.

a = 7.118 Å, b = 7.216 Å, c = 7.216 Å
α = 63.58°, β = 60.45°, γ = 60.45°
Last column: magnetic moment on the atom in μB.
Fractional coordinates of all 22 atoms:
F (0.250, 0.612, 0.888)  0.11
F (0.572, 0.184, 0.040)  0.04
F (0.928, 0.460, 0.316)  0.04
F (0.204, 0.184, 0.040)  0.04
F (0.750, 0.388, 0.112)  0.11
F (0.072, 0.540, 0.684)  0.04
F (0.428, 0.816, 0.960)  0.04
F (0.296, 0.460, 0.316)  0.04
F (0.088, 0.201, 0.623)  0.00
F (0.912, 0.799, 0.377)  0.00
F (0.796, 0.816, 0.960)  0.04
F (0.412, 0.877, 0.299)  0.00
F (0.588, 0.123, 0.701)  0.00
F (0.704, 0.540, 0.684)  0.04
Ni (0.000, 0.500, 0.000)  1.69
Ni (0.500, 0.500, 0.000)  1.69
Ag (0.000, 0.000, 0.000)  0.00
Ag (0.500, 0.000, 0.500)  0.00
Ag (0.000, 0.000, 0.500)  0.00
Ag (0.500, 0.500, 0.500)  0.00
Al (0.000, 0.500, 0.500)  0.01
Al (0.500, 0.000, 0.000)  0.01

Calculated values
Space-group type = Imma
E = -4.825 eV/atom
M_tot = 0.182 μB/atom

---

No. 2
Computed, not measured: crystalline Al2AgPF at its relaxed geometry at the GGA-PBEsol level of DFT.

a = 4.598 Å, b = 4.903 Å, c = 4.903 Å
α = 90.00°, β = 90.00°, γ = 90.00°
Last column: magnetic moment on the atom in μB.
Fractional coordinates of all 5 atoms:
F (0.500, 0.500, 0.500)  0.04
Al (0.000, 0.500, 0.000)  0.03
Al (0.000, 0.000, 0.500)  0.03
P (0.500, 0.000, 0.000)  0.32
Ag (0.000, 0.000, 0.000)  0.04

Calculated values
Space-group type = P4/mmm
Fermi-level density of states = 2.965 states/eV/f.u.
E = -3.470 eV/atom
M_tot = 0.178 μB/atom

---

No. 3
Computed, not measured: crystalline AlZnAg2F at its relaxed geometry at the GGA-PBEsol level of DFT.

a = 4.797 Å, b = 4.789 Å, c = 4.789 Å
α = 90.00°, β = 90.00°, γ = 90.00°
Fractional coordinates of all 5 atoms:
Zn (0.500, 0.000, 0.000)
Al (0.000, 0.000, 0.000)
Ag (0.000, 0.500, 0.000)
Ag (0.000, 0.000, 0.500)
F (0.500, 0.500, 0.500)

Calculated values
Space-group type = P4/mmm
Fermi-level density of states = 3.518 states/eV/f.u.
E = -2.479 eV/atom
M_tot = 0.000 μB/atom

---

No. 4
Computed, not measured: crystalline Al2FeAg at its relaxed geometry at the GGA-PBEsol level of DFT.

a = 2.832 Å, b = 3.734 Å, c = 5.374 Å
α = 90.00°, β = 90.00°, γ = 90.00°
Last column: magnetic moment on the atom in μB.
Fractional coordinates of all 4 atoms:
Al (0.000, 0.000, 0.993)  -0.01
Al (0.500, 0.500, 0.281)  -0.03
Ag (0.500, 0.500, 0.761)  -0.01
Fe (0.000, 0.000, 0.465)  1.94

Calculated values
Formation enthalpy at 0 K = -0.029 eV per atom
Energy relative to the lowest polymorph listed for this composition = 245 meV/atom
Space-group type = Pmm2
Fermi-level density of states = 2.932 states/eV/f.u.
M_tot = 0.461 μB/atom

---

No. 5
Computed, not measured: crystalline Al2FeAg at its relaxed geometry at the GGA-PBEsol level of DFT.

a = 2.746 Å, b = 4.432 Å, c = 4.987 Å
α = 100.16°, β = 90.00°, γ = 108.04°
Last column: magnetic moment on the atom in μB.
Fractional coordinates of all 4 atoms:
Fe (0.000, 0.000, 0.500)  1.77
Ag (0.500, 0.000, 0.000)  -0.02
Al (0.742, 0.484, 0.727)  -0.02
Al (0.258, 0.516, 0.273)  -0.02

Calculated values
Formation enthalpy at 0 K = -0.039 eV per atom
Energy relative to the lowest polymorph listed for this composition = 235 meV/atom
Space-group type = C2/m
Fermi-level density of states = 2.044 states/eV/f.u.
M_tot = 0.410 μB/atom

---

No. 6
Computed, not measured: crystalline Al2FeAg at its relaxed geometry at the GGA-PBEsol level of DFT.

a = 2.867 Å, b = 2.867 Å, c = 6.605 Å
α = 90.00°, β = 89.97°, γ = 90.00°
Fractional coordinates of all 4 atoms:
Fe (0.500, 0.500, 0.000)
Al (0.000, 0.000, 0.795)
Al (0.000, 0.000, 0.205)
Ag (0.500, 0.500, 0.500)

Calculated values
Formation enthalpy at 0 K = -0.274 eV per atom
Energy relative to the lowest polymorph listed for this composition = 0 meV/atom
Space-group type = P4/mmm
Fermi-level density of states = 1.702 states/eV/f.u.
M_tot = 0.000 μB/atom

---

No. 7
Computed, not measured: crystalline Al2FeAg at its relaxed geometry at the GGA-PBEsol level of DFT.

a = 2.871 Å, b = 4.402 Å, c = 4.402 Å
α = 96.53°, β = 90.00°, γ = 90.00°
Last column: magnetic moment on the atom in μB.
Fractional coordinates of all 4 atoms:
Al (0.000, 0.500, 0.000)  -0.03
Al (0.000, 0.000, 0.500)  -0.03
Fe (0.500, 0.000, 0.000)  1.65
Ag (0.500, 0.500, 0.500)  0.00

Calculated values
Formation enthalpy at 0 K = -0.109 eV per atom
Energy relative to the lowest polymorph listed for this composition = 165 meV/atom
Space-group type = Cmmm
Fermi-level density of states = 2.288 states/eV/f.u.
M_tot = 0.381 μB/atom

---

No. 8
Computed, not measured: crystalline Al2FeAg at its relaxed geometry at the GGA-PBEsol level of DFT.

a = 3.183 Å, b = 4.142 Å, c = 4.142 Å
α = 90.00°, β = 90.00°, γ = 90.00°
Last column: magnetic moment on the atom in μB.
Fractional coordinates of all 4 atoms:
Ag (0.500, 0.000, 0.000)  0.01
Fe (0.500, 0.500, 0.500)  1.27
Al (0.000, 0.500, 0.000)  -0.02
Al (0.000, 0.000, 0.500)  -0.02

Calculated values
Formation enthalpy at 0 K = -0.124 eV per atom
Energy relative to the lowest polymorph listed for this composition = 150 meV/atom
Space-group type = P4/mmm
Fermi-level density of states = 2.602 states/eV/f.u.
M_tot = 0.296 μB/atom

---

No. 9
Computed, not measured: crystalline Al2FeAg at its relaxed geometry at the GGA-PBEsol level of DFT.

a = 5.431 Å, b = 5.479 Å, c = 5.479 Å
α = 75.78°, β = 60.29°, γ = 60.29°
Last column: magnetic moment on the atom in μB.
Fractional coordinates of all 8 atoms:
Al (0.375, 0.482, 0.018)  -0.02
Al (0.607, 0.018, 0.518)  -0.02
Al (0.875, 0.518, 0.982)  -0.02
Al (0.143, 0.982, 0.482)  -0.02
Ag (0.000, 0.000, 0.000)  -0.04
Ag (0.750, 0.500, 0.500)  -0.04
Fe (0.500, 0.000, 0.000)  1.47
Fe (0.250, 0.500, 0.500)  1.47

Calculated values
Formation enthalpy at 0 K = 0.362 eV per atom
Energy relative to the lowest polymorph listed for this composition = 636 meV/atom
Space-group type = I-42d
Fermi-level density of states = 2.899 states/eV/f.u.
M_tot = 0.329 μB/atom

---

No. 10
Computed, not measured: crystalline SrAl2FeAg at its relaxed geometry at the GGA-PBEsol level of DFT.

a = 5.274 Å, b = 5.609 Å, c = 5.609 Å
α = 90.00°, β = 90.00°, γ = 90.00°
Last column: magnetic moment on the atom in μB.
Fractional coordinates of all 5 atoms:
Fe (0.500, 0.500, 0.500)  3.34
Ag (0.500, 0.000, 0.000)  -0.01
Al (0.000, 0.500, 0.000)  -0.02
Al (0.000, 0.000, 0.500)  -0.02
Sr (0.000, 0.000, 0.000)  -0.05

Calculated values
Formation enthalpy at 0 K = 1.975 eV per atom
Space-group type = P4/mmm
Fermi-level density of states = 8.301 states/eV/f.u.
M_tot = 0.619 μB/atom

---

No. 11
Computed, not measured: crystalline Al2GaAg2 at its relaxed geometry at the GGA-PBEsol level of DFT.

a = 2.726 Å, b = 8.002 Å, c = 8.002 Å
α = 90.00°, β = 90.00°, γ = 90.00°
Fractional coordinates of all 10 atoms:
Al (0.500, 0.871, 0.371)
Al (0.500, 0.371, 0.129)
Al (0.500, 0.129, 0.629)
Al (0.500, 0.629, 0.871)
Ga (0.000, 0.000, 0.000)
Ga (0.000, 0.500, 0.500)
Ag (0.000, 0.668, 0.168)
Ag (0.000, 0.332, 0.832)
Ag (0.000, 0.832, 0.668)
Ag (0.000, 0.168, 0.332)

Calculated values
Formation enthalpy at 0 K = 0.009 eV per atom
Space-group type = P4/mbm
Fermi-level density of states = 1.369 states/eV/f.u.
M_tot = 0.000 μB/atom

---

No. 12
Computed, not measured: crystalline AlGa2Ag2 at its relaxed geometry at the GGA-PBEsol level of DFT.

a = 3.685 Å, b = 3.685 Å, c = 7.050 Å
α = 105.15°, β = 105.15°, γ = 90.00°
Fractional coordinates of all 5 atoms:
Ga (0.250, 0.750, 0.500)
Ga (0.750, 0.250, 0.500)
Al (0.000, 0.000, 0.000)
Ag (0.399, 0.399, 0.799)
Ag (0.601, 0.601, 0.201)

Calculated values
Formation enthalpy at 0 K = 0.118 eV per atom
Space-group type = I4/mmm
Fermi-level density of states = 1.834 states/eV/f.u.
M_tot = 0.000 μB/atom